A plane-wave DFT calculation with PBE+U was carried out for a relaxed structure of HfFeNF2.

## Properties
- polymorph energy (0 for the lowest one) (eV/atom) = 0.000

abc: 4.122 4.122 4.215
angles: 90.00 90.00 90.00
Positions (direct):
Hf  0.000  0.000  0.000
Fe  0.500  0.500  0.500
N  0.000  0.000  0.500
F  0.000  0.500  0.000
F  0.500  0.000  0.000